#1
RbBrCl3 | PBE-GGA | relaxed

abc: 5.6331 8.0726 8.9799
angles: 75.18 85.15 69.67
Atoms (fractional coordinates):
1 Rb 0.0000 0.0000 0.0000
2 Rb 0.4849 0.6145 0.6060
3 Br 0.3268 0.2043 0.2005
4 Br 0.6826 0.5750 0.1683
5 Cl 0.1328 0.0225 0.3649
6 Cl 0.1658 0.3125 0.7192
7 Cl 0.5145 0.0556 0.7294
8 Cl 0.5235 0.4182 0.0093
9 Cl 0.8491 0.7156 0.3079
10 Cl 0.8693 0.7924 0.7439

Values from the calculation:
M_tot ... 0.000 μB/f.u.

***

#2
RbBrCl3 | PBE-GGA | relaxed

abc: 6.3822 6.3822 6.3822
angles: 90.00 90.00 90.00
Atoms (fractional coordinates):
1 Rb 0.0000 0.0000 0.0000
2 Br 0.5000 0.5000 0.5000
3 Cl 0.0000 0.0000 0.5000
4 Cl 0.0000 0.5000 0.0000
5 Cl 0.5000 0.0000 0.0000

Values from the calculation:
M_tot ... 3.000 μB/f.u.

***

Short version: #1 is the most stable of them.

***

#1
RbBrCl3 | PBE-GGA | relaxed

abc: 5.9870 5.9870 11.2722
angles: 90.00 90.00 120.00
Atoms (fractional coordinates):
1 Rb 0.3333 0.6667 0.2500
2 Rb 0.6667 0.3333 0.7500
3 Br 0.0000 0.0000 0.0000
4 Br 0.0000 0.0000 0.5000
5 Cl 0.0000 0.0000 0.2500
6 Cl 0.0000 0.0000 0.7500
7 Cl 0.3333 0.6667 0.6610
8 Cl 0.3333 0.6667 0.8390
9 Cl 0.6667 0.3333 0.1610
10 Cl 0.6667 0.3333 0.3390

Values from the calculation:
M_tot ... 0.000 μB/f.u.

***

#2
RbBrCl3 | PBE-GGA | relaxed

abc: 9.0648 9.0648 10.6793
angles: 104.70 104.70 68.58
Atoms (fractional coordinates):
1 Rb 0.2336 0.2406 0.1273
2 Rb 0.2406 0.2336 0.6273
3 Rb 0.7594 0.7664 0.3727
4 Rb 0.7664 0.7594 0.8727
5 Br 0.1889 0.8111 0.2500
6 Br 0.1970 0.8030 0.7500
7 Br 0.8030 0.1970 0.2500
8 Br 0.8111 0.1889 0.7500
9 Cl 0.0203 0.6415 0.1540
10 Cl 0.0266 0.6369 0.6529
11 Cl 0.3585 0.9797 0.3460
12 Cl 0.3631 0.9734 0.8471
13 Cl 0.4231 0.5731 0.9346
14 Cl 0.4269 0.5769 0.5654
15 Cl 0.5731 0.4231 0.4346
16 Cl 0.5769 0.4269 0.0654
17 Cl 0.6369 0.0266 0.1529
18 Cl 0.6415 0.0203 0.6540
19 Cl 0.9734 0.3631 0.3471
20 Cl 0.9797 0.3585 0.8460

Values from the calculation:
M_tot ... 0.000 μB/f.u.

***

Short version: #2 is the most stable of them.

***

#1
RbBrCl3 | PBE-GGA | relaxed

abc: 4.1561 4.1561 9.5060
angles: 90.00 90.00 90.00
Atoms (fractional coordinates):
1 Rb 0.0000 0.0000 0.0000
2 Br 0.5000 0.5000 0.6893
3 Cl 0.0000 0.0000 0.6731
4 Cl 0.0000 0.5000 0.2555
5 Cl 0.5000 0.0000 0.2555

Values from the calculation:
M_tot ... 0.000 μB/f.u.

***

#2
RbBrCl3 | PBE-GGA | relaxed

abc: 9.1553 9.1553 9.1553
angles: 51.37 51.37 51.37
Atoms (fractional coordinates):
1 Rb 0.0000 0.0000 0.0000
2 Rb 0.5000 0.5000 0.5000
3 Br 0.2500 0.2500 0.2500
4 Br 0.7500 0.7500 0.7500
5 Cl 0.0702 0.7500 0.4298
6 Cl 0.2500 0.5702 0.9298
7 Cl 0.4298 0.0702 0.7500
8 Cl 0.5702 0.9298 0.2500
9 Cl 0.7500 0.4298 0.0702
10 Cl 0.9298 0.2500 0.5702

Values from the calculation:
M_tot ... 1.000 μB/f.u.

***

Short version: #2 is the most stable of them.

***

#1
RbBrCl3 | PBE-GGA | relaxed

abc: 5.3931 8.3052 9.1730
angles: 90.00 98.93 90.00
Atoms (fractional coordinates):
1 Rb 0.0954 0.2500 0.2239
2 Rb 0.9046 0.7500 0.7761
3 Br 0.3028 0.7500 0.2890
4 Br 0.6972 0.2500 0.7110
5 Cl 0.2540 0.5095 0.9997
6 Cl 0.2540 0.9905 0.9997
7 Cl 0.3410 0.7500 0.5338
8 Cl 0.6590 0.2500 0.4662
9 Cl 0.7460 0.0095 0.0003
10 Cl 0.7460 0.4905 0.0003

Values from the calculation:
M_tot ... 0.000 μB/f.u.

***

#2
RbBrCl3 | PBE-GGA | relaxed

abc: 17.2003 17.2003 17.2003
angles: 163.33 163.33 23.66
Atoms (fractional coordinates):
1 Rb 0.0000 0.0000 0.0000
2 Rb 0.7500 0.2500 0.5000
3 Br 0.1921 0.6921 0.5000
4 Br 0.3079 0.8079 0.5000
5 Cl 0.3164 0.3164 0.0000
6 Cl 0.3412 0.0856 0.2557
7 Cl 0.6836 0.6836 0.0000
8 Cl 0.8299 0.0856 0.7443
9 Cl 0.9144 0.1701 0.2557
10 Cl 0.9144 0.6588 0.7443

Values from the calculation:
M_tot ... 0.000 μB/f.u.

***

#3
RbBrCl3 | PBE-GGA | relaxed

abc: 10.2243 10.2243 10.2243
angles: 60.00 60.00 60.00
Atoms (fractional coordinates):
1 Rb 0.0000 0.0000 0.0000
2 Rb 0.0000 0.0000 0.5000
3 Rb 0.0000 0.5000 0.0000
4 Rb 0.5000 0.0000 0.0000
5 Br 0.0000 0.5000 0.5000
6 Br 0.5000 0.0000 0.5000
7 Br 0.5000 0.5000 0.0000
8 Br 0.5000 0.5000 0.5000
9 Cl 0.1814 0.1814 0.5686
10 Cl 0.1814 0.5686 0.1814
11 Cl 0.1814 0.5686 0.5686
12 Cl 0.4314 0.4314 0.8186
13 Cl 0.4314 0.8186 0.4314
14 Cl 0.4314 0.8186 0.8186
15 Cl 0.5686 0.1814 0.1814
16 Cl 0.5686 0.1814 0.5686
17 Cl 0.5686 0.5686 0.1814
18 Cl 0.8186 0.4314 0.4314
19 Cl 0.8186 0.4314 0.8186
20 Cl 0.8186 0.8186 0.4314

Values from the calculation:
M_tot ... 0.000 μB/f.u.

***

#4
RbBrCl3 | PBE-GGA | relaxed

abc: 5.2106 7.2218 10.3519
angles: 90.00 91.58 90.00
Atoms (fractional coordinates):
1 Rb 0.2403 0.2500 0.1229
2 Rb 0.7597 0.7500 0.8771
3 Br 0.3330 0.2500 0.7000
4 Br 0.6670 0.7500 0.3000
5 Cl 0.2519 0.5651 0.6580
6 Cl 0.2519 0.9349 0.6580
7 Cl 0.2701 0.7500 0.0650
8 Cl 0.7299 0.2500 0.9350
9 Cl 0.7481 0.0651 0.3420
10 Cl 0.7481 0.4349 0.3420

Values from the calculation:
M_tot ... 0.186 μB/f.u.

***

Short version: #4 is the most stable of them.

***

#1
RbBrCl3 | PBE-GGA | relaxed

abc: 9.2212 9.2212 9.8973
angles: 103.85 103.85 107.91
Atoms (fractional coordinates):
1 Rb 0.0681 0.9319 0.7500
2 Rb 0.2884 0.7116 0.2500
3 Rb 0.7116 0.2884 0.7500
4 Rb 0.9319 0.0681 0.2500
5 Br 0.2526 0.4737 0.7049
6 Br 0.4737 0.2526 0.2049
7 Br 0.5263 0.7474 0.7951
8 Br 0.7474 0.5263 0.2951
9 Cl 0.0132 0.7939 0.3836
10 Cl 0.1341 0.6154 0.8555
11 Cl 0.2061 0.9868 0.1164
12 Cl 0.3256 0.3603 0.0540
13 Cl 0.3603 0.3256 0.5540
14 Cl 0.3846 0.8659 0.6445
15 Cl 0.6154 0.1341 0.3555
16 Cl 0.6397 0.6744 0.4460
17 Cl 0.6744 0.6397 0.9460
18 Cl 0.7939 0.0132 0.8836
19 Cl 0.8659 0.3846 0.1445
20 Cl 0.9868 0.2061 0.6164

Values from the calculation:
M_tot ... 0.000 μB/f.u.

***

#2
RbBrCl3 | PBE-GGA | relaxed

abc: 6.4128 7.7067 9.0598
angles: 73.05 75.10 69.85
Atoms (fractional coordinates):
1 Rb 0.0000 0.0000 0.0000
2 Rb 0.4762 0.4422 0.5039
3 Br 0.3338 0.9299 0.5328
4 Br 0.4750 0.4354 0.9905
5 Cl 0.0387 0.8229 0.6957
6 Cl 0.0457 0.3707 0.4142
7 Cl 0.4656 0.1901 0.8705
8 Cl 0.4859 0.6700 0.1108
9 Cl 0.6730 0.0272 0.3585
10 Cl 0.8903 0.6695 0.3829

Values from the calculation:
M_tot ... 0.000 μB/f.u.

***

Short version: #2 is the most stable of them.

***

#1
RbBrCl3 | PBE-GGA | relaxed

abc: 5.8351 7.7980 9.3964
angles: 95.95 99.92 100.20
Atoms (fractional coordinates):
1 Rb 0.0000 0.0000 0.0000
2 Rb 0.1256 0.6070 0.5410
3 Br 0.5449 0.4221 0.2687
4 Br 0.9885 0.4665 0.9704
5 Cl 0.1086 0.3166 0.7797
6 Cl 0.2540 0.2379 0.3500
7 Cl 0.4267 0.8512 0.8600
8 Cl 0.6383 0.8973 0.6597
9 Cl 0.8311 0.9353 0.4792
10 Cl 0.8684 0.6325 0.1830

Values from the calculation:
M_tot ... 0.000 μB/f.u.

***

#2
RbBrCl3 | PBE-GGA | relaxed

abc: 5.3947 5.3947 5.3947
angles: 90.00 90.00 90.00
Atoms (fractional coordinates):
1 Rb 0.0000 0.0000 0.0000
2 Br 0.5000 0.5000 0.5000
3 Cl 0.0000 0.5000 0.5000
4 Cl 0.5000 0.0000 0.5000
5 Cl 0.5000 0.5000 0.0000

Values from the calculation:
M_tot ... 0.000 μB/f.u.

***

Short version: #1 is the most stable of them.